Density functional theory data (PBE) for TaAs2Os after structural relaxation.

Results
**Formation energy**: 0.0 eV per formula unit
**SG**: R3m
**Electronic total energy**: -8.08 eV/atom
**DOS at the Fermi energy**: 2.3 states/eV/f.u.
**Offset from the most stable computed form**: 0.120 eV per atom
**Total magnetic moment**: 0.00 μB/cell
**ρ**: 10.95 g cm⁻³

Geometry as CIF:
```
data_TaAs2Os
_cell_length_a 10.321
_cell_length_b 10.321
_cell_length_c 10.321
_cell_angle_alpha 16.68
_cell_angle_beta 16.68
_cell_angle_gamma 16.68
_symmetry_space_group_name_H-M 'P 1'
_symmetry_Int_Tables_number 1
loop_
_symmetry_equiv_pos_as_xyz
'x,y,z'
loop_
_atom_site_label
_atom_site_fract_x
_atom_site_fract_y
_atom_site_fract_z
As1 0.021 0.021 0.021
As2 0.224 0.224 0.224
Os1 0.496 0.496 0.496
Ta1 0.758 0.758 0.758
```

---

Density functional theory data (PBE) for NaMg6Cd4 after structural relaxation.

Results
**Formation energy**: -0.4 eV per formula unit
**SG**: P-6m2
**Electronic total energy**: -1.35 eV/atom
**DOS at the Fermi energy**: 3.5 states/eV/f.u.
**Total magnetic moment**: 0.00 μB/cell
**ρ**: 3.76 g cm⁻³

Geometry as CIF:
```
data_NaMg6Cd4
_cell_length_a 4.705
_cell_length_b 8.185
_cell_length_c 8.185
_cell_angle_alpha 120.00
_cell_angle_beta 90.00
_cell_angle_gamma 90.00
_symmetry_space_group_name_H-M 'P 1'
_symmetry_Int_Tables_number 1
loop_
_symmetry_equiv_pos_as_xyz
'x,y,z'
loop_
_atom_site_label
_atom_site_fract_x
_atom_site_fract_y
_atom_site_fract_z
Na1 0.000 0.000 0.000
Mg1 0.000 0.534 0.069
Mg2 0.500 0.592 0.796
Mg3 0.000 0.534 0.466
Mg4 0.000 0.931 0.466
Mg5 0.500 0.204 0.796
Mg6 0.500 0.204 0.408
Cd1 0.500 0.797 0.594
Cd2 0.500 0.406 0.203
Cd3 0.500 0.797 0.203
Cd4 0.000 0.333 0.667
```

---

Density functional theory data (PBE) for TlCoCl2 after structural relaxation.

Results
**SG**: Pmmm
**Electronic total energy**: -3.24 eV/atom
**DOS at the Fermi energy**: 2.5 states/eV/f.u.
**Formation energy from raw total energies**: 0.047 eV/atom
**Offset from the most stable computed form**: 0.492 eV per atom
**Total magnetic moment**: 2.12 μB/cell
**ρ**: 5.91 g cm⁻³

Geometry as CIF:
```
data_TlCoCl2
_cell_length_a 4.952
_cell_length_b 5.373
_cell_length_c 3.528
_cell_angle_alpha 90.00
_cell_angle_beta 90.00
_cell_angle_gamma 90.00
_symmetry_space_group_name_H-M 'P 1'
_symmetry_Int_Tables_number 1
loop_
_symmetry_equiv_pos_as_xyz
'x,y,z'
loop_
_atom_site_label
_atom_site_fract_x
_atom_site_fract_y
_atom_site_fract_z
Tl1 0.000 0.500 0.500
Co1 0.500 0.000 0.500
Cl1 0.000 0.000 0.000
Cl2 0.500 0.500 0.000
```

---

Density functional theory data (PBE) for LiCaGa2Ni after structural relaxation.

Results
**Formation energy**: -1.5 eV per formula unit
**SG**: P4/mmm
**Electronic total energy**: -3.45 eV/atom
**DOS at the Fermi energy**: 2.8 states/eV/f.u.
**Total magnetic moment**: 0.00 μB/cell
**ρ**: 4.15 g cm⁻³

Geometry as CIF:
```
data_LiCaGa2Ni
_cell_length_a 4.576
_cell_length_b 4.576
_cell_length_c 4.688
_cell_angle_alpha 90.00
_cell_angle_beta 90.00
_cell_angle_gamma 90.00
_symmetry_space_group_name_H-M 'P 1'
_symmetry_Int_Tables_number 1
loop_
_symmetry_equiv_pos_as_xyz
'x,y,z'
loop_
_atom_site_label
_atom_site_fract_x
_atom_site_fract_y
_atom_site_fract_z
Ni1 0.000 0.000 0.000
Ca1 0.500 0.500 0.500
Ga1 0.000 0.500 0.000
Ga2 0.500 0.000 0.000
Li1 0.000 0.000 0.500
```

---

Density functional theory data (PBE) for Mg3ZnGa2 after structural relaxation.

Results
**Formation energy**: -0.6 eV per formula unit
**SG**: Ibam
**Electronic total energy**: -2.12 eV/atom
**DOS at the Fermi energy**: 2.6 states/eV/f.u.
**Offset from the most stable computed form**: 0.017 eV per atom
**Total magnetic moment**: 0.00 μB/cell
**ρ**: 3.89 g cm⁻³

Geometry as CIF:
```
data_Mg3ZnGa2
_cell_length_a 5.706
_cell_length_b 5.792
_cell_length_c 8.240
_cell_angle_alpha 110.58
_cell_angle_beta 110.26
_cell_angle_gamma 90.00
_symmetry_space_group_name_H-M 'P 1'
_symmetry_Int_Tables_number 1
loop_
_symmetry_equiv_pos_as_xyz
'x,y,z'
loop_
_atom_site_label
_atom_site_fract_x
_atom_site_fract_y
_atom_site_fract_z
Mg1 0.434 0.677 0.354
Mg2 0.566 0.323 0.646
Mg3 0.079 0.823 0.646
Mg4 0.921 0.177 0.354
Mg5 0.500 0.750 0.000
Mg6 0.500 0.250 0.000
Zn1 0.000 0.250 0.000
Zn2 0.000 0.750 0.000
Ga1 0.367 0.129 0.258
Ga2 0.633 0.871 0.742
Ga3 0.108 0.371 0.742
Ga4 0.892 0.629 0.258
```

---

Density functional theory data (PBE) for Y3SiP2Ir9 after structural relaxation.

Results
**SG**: P-3m1
**Electronic total energy**: -8.15 eV/atom
**DOS at the Fermi energy**: 10.5 states/eV/f.u.
**Formation energy from raw total energies**: -0.455 eV/atom
**Total magnetic moment**: 0.00 μB/cell
**ρ**: 12.45 g cm⁻³

Geometry as CIF:
```
data_Y3SiP2Ir9
_cell_length_a 5.653
_cell_length_b 5.653
_cell_length_c 10.056
_cell_angle_alpha 90.00
_cell_angle_beta 90.00
_cell_angle_gamma 120.00
_symmetry_space_group_name_H-M 'P 1'
_symmetry_Int_Tables_number 1
loop_
_symmetry_equiv_pos_as_xyz
'x,y,z'
loop_
_atom_site_label
_atom_site_fract_x
_atom_site_fract_y
_atom_site_fract_z
Y1 0.333 0.667 0.579
Y2 0.000 0.000 0.000
Y3 0.667 0.333 0.421
Si1 0.000 0.000 0.500
P1 0.333 0.667 0.162
P2 0.667 0.333 0.838
Ir1 0.841 0.159 0.688
Ir2 0.841 0.682 0.688
Ir3 0.318 0.159 0.688
Ir4 0.682 0.841 0.312
Ir5 0.159 0.318 0.312
Ir6 0.159 0.841 0.312
Ir7 0.500 0.000 0.000
Ir8 0.000 0.500 0.000
Ir9 0.500 0.500 0.000
```

---

Density functional theory data (PBE) for Ho2Ga3Ni4Ir after structural relaxation.

Results
**Formation energy**: -5.2 eV per formula unit
**SG**: P-4m2
**Electronic total energy**: -5.55 eV/atom
**DOS at the Fermi energy**: 8.2 states/eV/f.u.
**Total magnetic moment**: 0.00 μB/cell
**ρ**: 9.97 g cm⁻³

Geometry as CIF:
```
data_Ho2Ga3Ni4Ir
_cell_length_a 3.875
_cell_length_b 3.875
_cell_length_c 10.719
_cell_angle_alpha 90.00
_cell_angle_beta 90.00
_cell_angle_gamma 90.00
_symmetry_space_group_name_H-M 'P 1'
_symmetry_Int_Tables_number 1
loop_
_symmetry_equiv_pos_as_xyz
'x,y,z'
loop_
_atom_site_label
_atom_site_fract_x
_atom_site_fract_y
_atom_site_fract_z
Ho1 0.500 0.000 0.259
Ho2 0.000 0.500 0.741
Ga1 0.000 0.000 0.500
Ga2 0.500 0.000 0.869
Ga3 0.000 0.500 0.131
Ni1 0.500 0.500 0.000
Ni2 0.000 0.000 0.000
Ni3 0.500 0.000 0.648
Ni4 0.000 0.500 0.352
Ir1 0.500 0.500 0.500
```

---

Density functional theory data (PBE) for Tb2ErTl2 after structural relaxation.

Results
**Formation energy**: -1.3 eV per formula unit
**SG**: Immm
**Electronic total energy**: -3.96 eV/atom
**DOS at the Fermi energy**: 5.9 states/eV/f.u.
**Offset from the most stable computed form**: 0.024 eV per atom
**Total magnetic moment**: 0.00 μB/cell
**ρ**: 10.11 g cm⁻³

Geometry as CIF:
```
data_Tb2ErTl2
_cell_length_a 4.810
_cell_length_b 6.114
_cell_length_c 6.114
_cell_angle_alpha 68.07
_cell_angle_beta 66.84
_cell_angle_gamma 66.84
_symmetry_space_group_name_H-M 'P 1'
_symmetry_Int_Tables_number 1
loop_
_symmetry_equiv_pos_as_xyz
'x,y,z'
loop_
_atom_site_label
_atom_site_fract_x
_atom_site_fract_y
_atom_site_fract_z
Tb1 0.193 0.307 0.307
Tb2 0.807 0.693 0.693
Er1 0.000 0.000 0.000
Tl1 0.500 0.280 0.720
Tl2 0.500 0.720 0.280
```

---

Density functional theory data (PBE) for LiP2PtCl after structural relaxation.

Results
**SG**: P4/mmm
**Electronic total energy**: -3.35 eV/atom
**DOS at the Fermi energy**: 4.0 states/eV/f.u.
**Formation energy from raw total energies**: 0.776 eV/atom
**Offset from the most stable computed form**: 0.765 eV per atom
**Total magnetic moment**: 0.00 μB/cell
**ρ**: 5.94 g cm⁻³

Geometry as CIF:
```
data_LiP2PtCl
_cell_length_a 4.445
_cell_length_b 4.445
_cell_length_c 4.236
_cell_angle_alpha 90.00
_cell_angle_beta 90.00
_cell_angle_gamma 90.00
_symmetry_space_group_name_H-M 'P 1'
_symmetry_Int_Tables_number 1
loop_
_symmetry_equiv_pos_as_xyz
'x,y,z'
loop_
_atom_site_label
_atom_site_fract_x
_atom_site_fract_y
_atom_site_fract_z
P1 0.000 0.500 0.000
P2 0.500 0.000 0.000
Li1 0.000 0.000 0.000
Pt1 0.500 0.500 0.500
Cl1 0.000 0.000 0.500
```

---

Density functional theory data (PBE) for LiTl2Ag after structural relaxation.

Results
**Formation energy**: 0.3 eV per formula unit
**SG**: I-42d
**Electronic total energy**: -2.30 eV/atom
**DOS at the Fermi energy**: 1.6 states/eV/f.u.
**Offset from the most stable computed form**: 0.138 eV per atom
**Total magnetic moment**: 0.00 μB/cell
**ρ**: 8.65 g cm⁻³

Geometry as CIF:
```
data_LiTl2Ag
_cell_length_a 4.470
_cell_length_b 4.470
_cell_length_c 10.547
_cell_angle_alpha 77.77
_cell_angle_beta 77.77
_cell_angle_gamma 90.00
_symmetry_space_group_name_H-M 'P 1'
_symmetry_Int_Tables_number 1
loop_
_symmetry_equiv_pos_as_xyz
'x,y,z'
loop_
_atom_site_label
_atom_site_fract_x
_atom_site_fract_y
_atom_site_fract_z
Tl1 0.622 0.125 0.250
Tl2 0.128 0.625 0.250
Tl3 0.375 0.378 0.750
Tl4 0.875 0.872 0.750
Ag1 0.000 0.000 0.000
Ag2 0.750 0.250 0.500
Li1 0.500 0.500 0.000
Li2 0.250 0.750 0.500
```